{"formula": "SrLi2PdBr", "functional": "PBE", "state": "relaxed", "cell": [[4.775, 0.000, 0.000], [0.000, 5.698, 0.000], [0.000, 0.000, 4.775]], "species": ["Sr", "Br", "Pd", "Li", "Li"], "fractional_positions": [[0.500, 0.500, 0.500], [0.000, 0.000, 0.000], [0.000, 0.500, 0.000], [0.000, 0.000, 0.500], [0.500, 0.000, 0.000]], "energy_ev_per_atom": -2.809, "sg": "P4/mmm (123)", "m_tot_mub_per_fu": 0.423, "formation_energy_uncorrected_mev_per_atom": -334, "rho_g_cm3": 3.68}